Record 1
# MgCd2

A crystal of MgCd2 relaxed with PBEsol (meta-GGA SCAN, the Alexandria database).

Results
E_form: -0.09 eV/atom
SG: Cm
total DFT energy (no corrections): -22.023 eV/atom

```
MgCd2
1.0
3.166 0.000 0.000
-1.583 5.576 0.096
0.000 -1.622 7.070
Mg Cd
2 4
direct
0.050 0.100 0.605 Mg
0.725 0.451 0.949 Mg
0.329 0.659 0.669 Cd
0.668 0.335 0.335 Cd
0.391 0.782 0.279 Cd
0.003 0.006 0.996 Cd
```

---

Record 2
# TaH3N

A crystal of TaH3N relaxed with PBEsol (meta-GGA SCAN, the Alexandria database).

Results
SG: Pm-3m
total DFT energy (no corrections): -16.108 eV/atom

```
TaH3N
1.0
-2.317 2.535 0.208
-2.532 -2.325 0.130
0.236 -0.066 3.432
H N Ta
3 1 1
direct
0.000 0.500 0.000 H
0.000 0.000 0.500 H
0.500 0.000 0.000 H
0.500 0.500 0.500 N
0.000 0.000 0.000 Ta
```

---

Record 3
# CaYNO2

A crystal of CaYNO2 relaxed with PBEsol (meta-GGA SCAN, the Alexandria database).

Results
uncorrected formation energy: -8.51 eV per formula unit
SG: P4/mmm
total DFT energy (no corrections): -13.554 eV/atom

```
CaYNO2
1.0
-0.471 0.907 4.174
4.092 -1.106 0.702
1.239 4.105 -0.752
O Y N Ca
2 1 1 1
direct
0.000 0.500 0.000 O
0.500 0.000 0.000 O
0.000 0.000 0.000 Y
0.000 0.000 0.500 N
0.500 0.500 0.500 Ca
```

---

Record 4
# Fe3Co

A crystal of Fe3Co relaxed with PBEsol (meta-GGA SCAN, the Alexandria database).

Results
E_form: -0.14 eV/atom
SG: P4/mmm
total DFT energy (no corrections): -18.067 eV/atom

```
Fe3Co
1.0
2.783 0.000 0.000
0.000 3.964 0.000
0.000 0.000 3.964
Co Fe
1 3
direct
0.000 0.500 0.500 Co
0.500 0.500 0.000 Fe
0.000 0.000 0.000 Fe
0.500 0.000 0.500 Fe
```

---

Record 5
# LaBe3Cl

A crystal of LaBe3Cl relaxed with PBEsol (meta-GGA SCAN, the Alexandria database).

Results
uncorrected formation energy: 4.76 eV per formula unit
SG: Pm-3m
total DFT energy (no corrections): -11.877 eV/atom

```
LaBe3Cl
1.0
-0.092 3.680 2.544
-2.382 -2.194 3.088
3.787 -1.291 2.004
Be La Cl
3 1 1
direct
0.000 0.500 0.000 Be
0.500 0.000 0.000 Be
0.000 0.000 0.500 Be
0.500 0.500 0.500 La
0.000 0.000 0.000 Cl
```

---

Record 6
# LaIn2Sb

A crystal of LaIn2Sb relaxed with PBEsol (meta-GGA SCAN, the Alexandria database).

Results
energy above the lowest structure with this stoichiometry: 0.374 eV per atom
uncorrected formation energy: -1.17 eV per formula unit
SG: Fm-3m
total DFT energy (no corrections): -37.077 eV/atom

```
LaIn2Sb
1.0
5.387 0.000 0.000
2.694 4.666 0.000
2.694 1.555 4.399
La In Sb
1 2 1
direct
0.000 0.000 0.000 La
0.250 0.250 0.250 In
0.750 0.750 0.750 In
0.500 0.500 0.500 Sb
```

---

Record 7
# SrLa2Mn

A crystal of SrLa2Mn relaxed with PBEsol (meta-GGA SCAN, the Alexandria database).

Results
E_form: 0.12 eV/atom
SG: P4mm
total DFT energy (no corrections): -31.568 eV/atom

```
SrLa2Mn
1.0
-1.205 0.601 -3.444
-2.379 -2.810 0.342
-6.422 5.833 3.264
Sr La Mn
1 2 1
direct
0.500 0.500 0.697 Sr
0.000 0.000 0.034 La
0.500 0.500 0.298 La
0.000 0.000 0.471 Mn
```

---

Record 8
# LiLa2Zn

A crystal of LiLa2Zn relaxed with PBEsol (meta-GGA SCAN, the Alexandria database).

Results
E_form: -0.14 eV/atom
SG: Imm2
total DFT energy (no corrections): -25.666 eV/atom

```
LiLa2Zn
1.0
3.673 0.000 0.000
0.000 5.136 0.000
-1.836 -2.568 5.277
Li La Zn
1 2 1
direct
0.458 0.458 0.917 Li
0.242 0.742 0.484 La
0.020 0.020 0.040 La
0.780 0.280 0.559 Zn
```

---

Record 9
# TiTl2F6

A crystal of TiTl2F6 relaxed with PBEsol (meta-GGA SCAN, the Alexandria database).

Results
uncorrected formation energy: -26.22 eV per formula unit
SG: P-3m1
total DFT energy (no corrections): -23.134 eV/atom

```
TiTl2F6
1.0
4.767 0.000 0.000
0.000 5.869 0.000
0.000 -2.934 5.082
Ti F Tl
1 6 2
direct
0.000 0.000 0.000 Ti
0.779 0.307 0.153 F
0.221 0.153 0.847 F
0.221 0.153 0.307 F
0.221 0.693 0.847 F
0.779 0.847 0.153 F
0.779 0.847 0.693 F
0.689 0.333 0.667 Tl
0.311 0.667 0.333 Tl
```

---

Record 10
# Tl2HgBr

A crystal of Tl2HgBr relaxed with PBEsol (meta-GGA SCAN, the Alexandria database).

Results
energy above the lowest structure with this stoichiometry: 0.000 eV per atom
uncorrected formation energy: -1.52 eV per formula unit
SG: P2/m
total DFT energy (no corrections): -58.465 eV/atom

```
Tl2HgBr
1.0
4.531 0.000 0.000
0.000 4.372 0.052
0.000 -1.168 6.141
Hg Tl Br
1 2 1
direct
0.000 0.000 0.500 Hg
0.000 0.000 0.000 Tl
0.500 0.500 0.500 Tl
0.500 0.500 0.000 Br
```

---

Record 11
# CdHg2Pb

A crystal of CdHg2Pb relaxed with PBEsol (meta-GGA SCAN, the Alexandria database).

Results
E_form: 0.05 eV/atom
SG: Cm
total DFT energy (no corrections): -60.580 eV/atom

```
CdHg2Pb
1.0
-2.728 2.086 -0.049
-2.981 -3.941 -1.800
0.507 -2.042 5.289
Hg Cd Pb
2 1 1
direct
0.249 0.749 0.497 Hg
0.003 0.009 0.007 Hg
0.750 0.234 0.500 Cd
0.498 0.508 0.996 Pb
```

---

Record 12
# LaHgS2Cl

A crystal of LaHgS2Cl relaxed with PBEsol (meta-GGA SCAN, the Alexandria database).

Results
energy above the lowest structure with this stoichiometry: 0.007 eV per atom
uncorrected formation energy: -4.27 eV per formula unit
SG: P4/mmm
total DFT energy (no corrections): -28.555 eV/atom

```
LaHgS2Cl
1.0
-4.146 0.441 2.733
-2.769 -0.624 -4.099
-0.020 -4.938 0.765
S La Cl Hg
2 1 1 1
direct
0.500 0.000 0.000 S
0.000 0.500 0.000 S
0.500 0.500 0.500 La
0.000 0.000 0.500 Cl
0.000 0.000 0.000 Hg
```

---

Record 13
# ZrFeTe2

A crystal of ZrFeTe2 relaxed with PBEsol (meta-GGA SCAN, the Alexandria database).

Results
uncorrected formation energy: -0.66 eV per formula unit
SG: P4/mmm
total DFT energy (no corrections): -30.999 eV/atom

```
ZrFeTe2
1.0
-1.816 2.919 0.659
-0.509 -1.335 4.509
4.011 2.244 1.118
Te Zr Fe
2 1 1
direct
0.000 0.000 0.500 Te
0.000 0.500 0.000 Te
0.500 0.500 0.500 Zr
0.500 0.000 0.000 Fe
```

---

Record 14
# ScNiTe2I

A crystal of ScNiTe2I relaxed with PBEsol (meta-GGA SCAN, the Alexandria database).

Results
uncorrected formation energy: 1.46 eV per formula unit
SG: P4/mmm
total DFT energy (no corrections): -28.040 eV/atom

```
ScNiTe2I
1.0
-4.648 2.841 -0.395
-0.120 -0.946 -5.398
-2.876 -4.585 0.867
Sc Te I Ni
1 2 1 1
direct
0.000 0.000 0.000 Sc
0.000 0.500 0.000 Te
0.000 0.000 0.500 Te
0.500 0.000 0.000 I
0.500 0.500 0.500 Ni
```

---

Record 15
# Al2Ag

A crystal of Al2Ag relaxed with PBEsol (meta-GGA SCAN, the Alexandria database).

Results
E_form: -0.05 eV/atom
SG: P4/mmm
total DFT energy (no corrections): -15.669 eV/atom

```
Al2Ag
1.0
-1.151 1.664 2.017
-1.761 -2.123 0.746
8.042 -3.922 7.827
Ag Al
2 4
direct
0.000 0.000 0.836 Ag
0.000 0.000 0.164 Ag
0.500 0.500 0.329 Al
0.500 0.500 0.671 Al
0.500 0.500 0.000 Al
0.000 0.000 0.500 Al
```

---

Record 16
# RbZrAsO2

A crystal of RbZrAsO2 relaxed with PBEsol (meta-GGA SCAN, the Alexandria database).

Results
uncorrected formation energy: -5.14 eV per formula unit
SG: P4/mmm
total DFT energy (no corrections): -17.846 eV/atom

```
RbZrAsO2
1.0
4.082 0.000 0.000
0.000 4.082 0.000
0.000 0.000 10.775
Zr O As Rb
1 2 1 1
direct
0.000 0.000 0.000 Zr
0.000 0.500 0.000 O
0.500 0.000 0.000 O
0.500 0.500 0.500 As
0.000 0.000 0.500 Rb
```

---

Record 17
# Sn3HF

A crystal of Sn3HF relaxed with PBEsol (meta-GGA SCAN, the Alexandria database).

Results
SG: Pm-3m
total DFT energy (no corrections): -22.609 eV/atom

```
Sn3HF
1.0
4.856 0.000 0.000
0.000 4.856 0.000
0.000 0.000 4.856
Sn F H
3 1 1
direct
0.000 0.000 0.500 Sn
0.500 0.000 0.000 Sn
0.000 0.500 0.000 Sn
0.000 0.000 0.000 F
0.500 0.500 0.500 H
```

---

Record 18
# KBa2Hg

A crystal of KBa2Hg relaxed with PBEsol (meta-GGA SCAN, the Alexandria database).

Results
E_form: -0.36 eV/atom
SG: P4/mmm
total DFT energy (no corrections): -39.255 eV/atom

```
KBa2Hg
1.0
4.167 0.000 0.032
0.000 4.168 0.000
-0.089 0.000 11.029
Hg Ba K
1 2 1
direct
0.500 0.500 0.000 Hg
0.000 0.000 0.173 Ba
0.000 0.000 0.827 Ba
0.500 0.500 0.500 K
```

---

Record 19
# Sm3Sb5O12

A crystal of Sm3Sb5O12 relaxed with PBEsol (meta-GGA SCAN, the Alexandria database).

Results
uncorrected formation energy: -47.76 eV per formula unit
SG: I-43m
total DFT energy (no corrections): -22.108 eV/atom

```
Sm3Sb5O12
1.0
9.399 0.000 0.000
-3.133 8.862 0.000
-3.133 -4.431 7.674
O Sb Sm
24 10 6
direct
0.000 0.289 0.492 O
0.800 0.000 0.525 O
0.000 0.525 0.800 O
0.508 0.798 0.508 O
0.798 0.508 0.508 O
0.525 0.800 0.000 O
0.492 0.289 0.000 O
0.000 0.492 0.289 O
0.492 0.000 0.289 O
0.725 0.200 0.200 O
0.508 0.508 0.798 O
0.289 0.000 0.492 O
0.475 0.275 0.475 O
0.475 0.475 0.275 O
0.200 0.200 0.725 O
0.289 0.492 0.000 O
0.711 0.202 0.711 O
0.000 0.800 0.525 O
0.200 0.725 0.200 O
0.202 0.711 0.711 O
0.711 0.711 0.202 O
0.800 0.525 0.000 O
0.525 0.000 0.800 O
0.275 0.475 0.475 O
0.278 0.000 0.278 Sb
0.000 0.000 0.486 Sb
0.486 0.000 0.000 Sb
0.000 0.722 0.722 Sb
0.722 0.000 0.722 Sb
0.000 0.278 0.278 Sb
0.514 0.514 0.514 Sb
0.278 0.278 0.000 Sb
0.000 0.486 0.000 Sb
0.722 0.722 0.000 Sb
0.500 0.750 0.250 Sm
0.250 0.500 0.750 Sm
0.500 0.250 0.750 Sm
0.250 0.750 0.500 Sm
0.750 0.500 0.250 Sm
0.750 0.250 0.500 Sm
```

---

Record 20
# RbCr5S8

A crystal of RbCr5S8 relaxed with PBEsol (meta-GGA SCAN, the Alexandria database).

Results
uncorrected formation energy: -17.00 eV per formula unit
SG: Cm
total DFT energy (no corrections): -14.763 eV/atom

```
RbCr5S8
1.0
3.450 0.000 0.000
0.000 8.562 -0.040
-1.725 -2.242 8.572
S Cr Rb
8 5 1
direct
0.172 0.489 0.343 S
0.238 0.157 0.476 S
0.762 0.843 0.524 S
0.424 0.849 0.847 S
0.087 0.829 0.173 S
0.828 0.511 0.657 S
0.913 0.171 0.827 S
0.576 0.151 0.153 S
0.659 0.975 0.318 Cr
0.296 0.665 0.593 Cr
0.000 0.000 0.000 Cr
0.341 0.025 0.682 Cr
0.704 0.335 0.408 Cr
0.500 0.500 0.000 Rb
```

---

Record 21
# HgOs2Pt

A crystal of HgOs2Pt relaxed with PBEsol (meta-GGA SCAN, the Alexandria database).

Results
E_form: 0.69 eV/atom
SG: Imm2
total DFT energy (no corrections): -69.838 eV/atom

```
HgOs2Pt
1.0
2.740 0.000 0.000
0.000 4.748 0.000
-1.370 -2.374 4.928
Pt Os Hg
1 2 1
direct
0.484 0.484 0.969 Pt
0.735 0.235 0.470 Os
0.022 0.022 0.045 Os
0.258 0.758 0.516 Hg
```

---

Record 22
# YMgCu

A crystal of YMgCu relaxed with PBEsol (meta-GGA SCAN, the Alexandria database).

Results
energy above the lowest structure with this stoichiometry: 0.043 eV per atom
E_form: -0.23 eV/atom
SG: C2/m
total DFT energy (no corrections): -16.234 eV/atom

```
YMgCu
1.0
-1.678 3.756 -0.615
-3.587 -1.020 3.559
5.138 0.612 3.785
Cu Y Mg
2 2 2
direct
0.229 0.854 0.457 Cu
0.771 0.146 0.543 Cu
0.868 0.694 0.737 Y
0.132 0.306 0.263 Y
0.584 0.780 0.169 Mg
0.416 0.220 0.831 Mg
```

---

Record 23
# Sr2WAu

A crystal of Sr2WAu relaxed with PBEsol (meta-GGA SCAN, the Alexandria database).

Results
E_form: 0.74 eV/atom
SG: Fm-3m
total DFT energy (no corrections): -45.108 eV/atom

```
Sr2WAu
1.0
5.308 0.000 0.000
2.654 4.597 0.000
2.654 1.532 4.334
Sr Au W
2 1 1
direct
0.250 0.250 0.250 Sr
0.750 0.750 0.750 Sr
0.500 0.500 0.500 Au
0.000 0.000 0.000 W
```

---

Record 24
# SrCaSb2

A crystal of SrCaSb2 relaxed with PBEsol (meta-GGA SCAN, the Alexandria database).

Results
energy above the lowest structure with this stoichiometry: 0.158 eV per atom
uncorrected formation energy: -3.13 eV per formula unit
SG: R-3m
total DFT energy (no corrections): -27.398 eV/atom

```
SrCaSb2
1.0
-0.245 0.850 -4.008
-3.647 -0.018 -1.883
-2.314 8.898 -0.073
Sb Ca Sr
2 1 1
direct
0.253 0.253 0.240 Sb
0.747 0.747 0.760 Sb
0.000 0.000 0.000 Ca
0.500 0.500 0.500 Sr
```

---

Record 25
# HPd2CI

A crystal of HPd2CI relaxed with PBEsol (meta-GGA SCAN, the Alexandria database).

Results
SG: P4/mmm
total DFT energy (no corrections): -21.899 eV/atom

```
HPd2CI
1.0
3.957 0.000 0.000
0.000 3.957 0.000
0.000 0.000 4.157
I Pd H C
1 2 1 1
direct
0.500 0.500 0.500 I
0.500 0.000 0.000 Pd
0.000 0.500 0.000 Pd
0.000 0.000 0.000 H
0.000 0.000 0.500 C
```

---

Record 26
# Eu3Mg

A crystal of Eu3Mg relaxed with PBEsol (meta-GGA SCAN, the Alexandria database).

Results
energy above the lowest structure with this stoichiometry: 0.031 eV per atom
E_form: -0.03 eV/atom
SG: Fm-3m
total DFT energy (no corrections): -41.559 eV/atom

```
Eu3Mg
1.0
5.746 0.000 0.000
2.873 4.976 0.000
2.873 1.659 4.691
Eu Mg
3 1
direct
0.750 0.750 0.750 Eu
0.500 0.500 0.500 Eu
0.250 0.250 0.250 Eu
0.000 0.000 0.000 Mg
```

---

Record 27
# Cd2InPb

A crystal of Cd2InPb relaxed with PBEsol (meta-GGA SCAN, the Alexandria database).

Results
energy above the lowest structure with this stoichiometry: 0.020 eV per atom
E_form: 0.08 eV/atom
SG: Cm
total DFT energy (no corrections): -42.416 eV/atom

```
Cd2InPb
1.0
3.303 0.000 0.000
0.000 5.524 -0.263
-1.651 -1.161 5.415
Pb Cd In
1 2 1
direct
0.742 0.232 0.485 Pb
0.259 0.740 0.519 Cd
0.988 0.004 0.976 Cd
0.510 0.524 0.021 In
```